Material: TbEr3Tm5
Method: DFT, PBE-GGA
State: relaxed

Unit cell a=7.119 b=17.112 c=9.096 alpha=90.00 beta=90.00 gamma=90.00
Space group Imma (No. 74)
Inequivalent atoms, fractional coordinates:
Tb 0.000 0.250 0.050 [4 per cell]
Er 0.000 0.063 0.749 [8 per cell]
Er 0.250 0.250 0.750 [4 per cell]
Tm 0.000 0.250 0.410 [4 per cell]
Tm 0.248 0.087 0.069 [16 per cell]

Computed properties:
ΔH_f (0 K) = 0.13 eV/atom
VASP energy = -4.3858 eV per atom
Relative energy among the computed polymorphs = 0 meV/atom